Record 1
Pr2Sm4Er7: relaxed, GGA-PBE.

Properties
Crystal system ... monoclinic
Formation enthalpy at 0 K ... 0.16 eV/atom
Calculated volume ... 425.4 Å³/f.u.
Magnetization ... 0.00 Bohr magnetons per cell
D(E_F) ... 16.019 states/eV/cell
Raw total energy ... -58.33 eV per formula unit

Structure (POSCAR):
```
Pr2Sm4Er7
1.0
3.2373 -5.5053 0.0000
3.2373 5.5053 0.0000
-1.1659 0.0000 11.9356
Pr Sm Er
2 4 7
Direct
0.1580 0.8420 0.0000
0.8420 0.1580 0.0000
0.2145 0.7855 0.5000
0.3374 0.3374 0.5832
0.6626 0.6626 0.4168
0.7855 0.2145 0.5000
0.0889 0.4633 0.7753
0.1701 0.1701 0.2732
0.4633 0.0889 0.7753
0.5000 0.5000 0.0000
0.5367 0.9111 0.2247
0.8299 0.8299 0.7268
0.9111 0.5367 0.2247
```


Record 2
Co2AsOs: relaxed, GGA-PBE.

Properties
Crystal system ... tetragonal
Formation enthalpy at 0 K ... 0.60 eV/atom
Calculated volume ... 56.0 Å³/f.u.
Magnetization ... 6.61 Bohr magnetons per cell
D(E_F) ... 12.440 states/eV/cell
Raw total energy ... -27.70 eV per formula unit

Structure (POSCAR):
```
Co2AsOs
1.0
-1.8162 1.8162 8.4839
1.8162 -1.8162 8.4839
1.8162 1.8162 -8.4839
Co As Os
4 2 2
Direct
0.1105 0.6250 0.9855
0.3750 0.3605 0.4855
0.6395 0.1250 0.0145
0.8750 0.8895 0.5145
0.0000 0.0000 0.0000
0.7500 0.2500 0.5000
0.2500 0.7500 0.5000
0.5000 0.5000 0.0000
```


Record 3
Cs2Tl6CdPb: relaxed, GGA-PBE.

Properties
Crystal system ... trigonal
Formation enthalpy at 0 K ... -0.01 eV/atom
Calculated volume ... 426.7 Å³/f.u.
Magnetization ... 0.00 Bohr magnetons per cell
D(E_F) ... 11.736 states/eV/cell
Raw total energy ... -20.64 eV per formula unit

Structure (POSCAR):
```
Cs2Tl6CdPb
1.0
4.2237 2.4386 13.8086
-4.2237 2.4386 13.8086
0.0000 -4.8771 13.8086
Cs Tl Cd Pb
4 12 2 2
Direct
0.1524 0.1524 0.1524
0.2902 0.2902 0.2902
0.7098 0.7098 0.7098
0.8476 0.8476 0.8476
0.1591 0.5868 0.5868
0.1905 0.1905 0.8101
0.1905 0.8101 0.1905
0.1899 0.8095 0.8095
0.4132 0.4132 0.8409
0.4132 0.8409 0.4132
0.5868 0.1591 0.5868
0.5868 0.5868 0.1591
0.8101 0.1905 0.1905
0.8095 0.1899 0.8095
0.8095 0.8095 0.1899
0.8409 0.4132 0.4132
0.0000 0.0000 0.0000
0.5000 0.5000 0.5000
0.3806 0.3806 0.3806
0.6194 0.6194 0.6194
```


Record 4
Sm2ZnOs: relaxed, GGA-PBE.

Properties
Crystal system ... monoclinic
Formation enthalpy at 0 K ... -0.22 eV/atom
Calculated volume ... 94.5 Å³/f.u.
Magnetization ... 0.00 Bohr magnetons per cell
D(E_F) ... 6.605 states/eV/cell
Raw total energy ... -22.84 eV per formula unit

Structure (POSCAR):
```
Sm2ZnOs
1.0
5.8785 0.0000 0.0000
0.0000 4.2835 0.0000
-2.8917 0.0000 7.5094
Sm Zn Os
4 2 2
Direct
0.1873 0.2500 0.4178
0.2692 0.7500 0.0595
0.7308 0.2500 0.9405
0.8127 0.7500 0.5822
0.3665 0.7500 0.7155
0.6335 0.2500 0.2845
0.1476 0.2500 0.7815
0.8524 0.7500 0.2185
```


Record 5
DyTm2: relaxed, GGA-PBE.

Properties
ΔE to the lowest computed polymorph ... 0 meV per atom
Crystal system ... trigonal
Formation enthalpy at 0 K ... 0.00 eV/atom
Calculated volume ... 90.9 Å³/f.u.
Magnetization ... 0.00 Bohr magnetons per cell
D(E_F) ... 3.680 states/eV/cell
Raw total energy ... -13.56 eV per formula unit

Structure (POSCAR):
```
DyTm2
1.0
1.7648 1.0189 8.4216
-1.7648 1.0189 8.4216
0.0000 -2.0379 8.4216
Dy Tm
1 2
Direct
0.0000 0.0000 0.0000
0.2215 0.2215 0.2215
0.7785 0.7785 0.7785
```


Record 6
Tb6Co2Pb: relaxed, GGA-PBE.

Properties
Crystal system ... orthorhombic
Formation enthalpy at 0 K ... -0.27 eV/atom
Calculated volume ... 232.4 Å³/f.u.
Magnetization ... 0.00 Bohr magnetons per cell
D(E_F) ... 14.196 states/eV/cell
Raw total energy ... -48.11 eV per formula unit

Structure (POSCAR):
```
Tb6Co2Pb
1.0
-4.7375 4.9058 4.9993
4.7375 -4.9058 4.9993
4.7375 4.9058 -4.9993
Tb Co Pb
12 4 2
Direct
0.0245 0.2351 0.7894
0.1836 0.2855 0.4691
0.1836 0.7145 0.8981
0.3245 0.0101 0.6856
0.3245 0.6388 0.3144
0.4458 0.2351 0.2106
0.5542 0.7649 0.7894
0.6755 0.3612 0.6856
0.6755 0.9899 0.3144
0.8164 0.2855 0.1019
0.8164 0.7145 0.5309
0.9755 0.7649 0.2106
0.1125 0.6125 0.5000
0.3461 0.0000 0.3461
0.6539 0.0000 0.6539
0.8875 0.3875 0.5000
0.0000 0.0000 0.0000
0.5000 0.5000 0.0000
```